1.
# Zr2UAg2Te6

An optimized crystal structure of Zr2UAg2Te6 (GGA-PBE, Alexandria).

Cell lengths 7.259, 7.259, 7.430 Å; angles 93.50, 93.50, 120.22 degrees
Fractional positions:
Zr (0.156, 0.844, 0.000)
Zr (0.844, 0.156, 0.000)
U (0.500, 0.500, 0.000)
Ag (0.389, 0.611, 0.500)
Ag (0.611, 0.389, 0.500)
Te (0.114, 0.475, 0.767)
Te (0.184, 0.184, 0.252)
Te (0.475, 0.114, 0.767)
Te (0.525, 0.886, 0.233)
Te (0.816, 0.816, 0.748)
Te (0.886, 0.525, 0.233)

Values from the calculation:
As for the total magnetic moment: 3.48 μB per formula unit. The formation energy (no corrections) comes out at -0.54 eV/atom. The value obtained for the density of states at the Fermi level is 9.03 states/eV per cell. The symmetry is C2/m, No. 12. As for the volume: 30.52 Å³ per atom.


2.
# VAgTe

An optimized crystal structure of VAgTe (GGA-PBE, Alexandria).

Cell lengths 3.543, 3.543, 10.446 Å; angles 90.00, 90.00, 90.00 degrees
Fractional positions:
V (0.250, 0.250, 0.220)
V (0.750, 0.750, 0.780)
Ag (0.250, 0.250, 0.939)
Ag (0.750, 0.750, 0.061)
Te (0.250, 0.250, 0.662)
Te (0.750, 0.750, 0.338)

Values from the calculation:
As for the total magnetic moment: 2.39 μB per formula unit. The formation energy (no corrections) comes out at 0.05 eV/atom. The value obtained for the density of states at the Fermi level is 4.17 states/eV per cell. The symmetry is P4/nmm, No. 129. As for the volume: 21.85 Å³ per atom.


3.
# VAg3Te4

An optimized crystal structure of VAg3Te4 (GGA-PBE, Alexandria).

Cell lengths 6.450, 6.450, 6.450 Å; angles 90.00, 90.00, 90.00 degrees
Fractional positions:
V (0.000, 0.000, 0.000)
Ag (0.000, 0.000, 0.500)
Ag (0.000, 0.500, 0.000)
Ag (0.500, 0.000, 0.000)
Te (0.236, 0.236, 0.236)
Te (0.236, 0.764, 0.764)
Te (0.764, 0.236, 0.764)
Te (0.764, 0.764, 0.236)

Values from the calculation:
As for the total magnetic moment: 0.00 μB per formula unit. The formation energy (no corrections) comes out at -0.16 eV/atom. The symmetry is P-43m, No. 215. As for the volume: 33.55 Å³ per atom.


4.
# VAgTe

An optimized crystal structure of VAgTe (GGA-PBE, Alexandria).

Cell lengths 4.219, 4.219, 6.715 Å; angles 90.00, 90.00, 90.00 degrees
Fractional positions:
V (0.250, 0.750, 0.000)
V (0.750, 0.250, 0.000)
Ag (0.250, 0.250, 0.293)
Ag (0.750, 0.750, 0.707)
Te (0.250, 0.250, 0.733)
Te (0.750, 0.750, 0.267)

Values from the calculation:
As for the total magnetic moment: 0.37 μB per formula unit. The formation energy (no corrections) comes out at 0.02 eV/atom. The value obtained for the density of states at the Fermi level is 4.06 states/eV per cell. The symmetry is P4/nmm, No. 129. As for the volume: 19.92 Å³ per atom.


5.
# V3Ag5Te12

An optimized crystal structure of V3Ag5Te12 (GGA-PBE, Alexandria).

Cell lengths 14.359, 14.359, 14.359 Å; angles 109.47, 109.47, 109.47 degrees
Fractional positions:
V (0.125, 0.250, 0.375)
V (0.125, 0.375, 0.750)
V (0.250, 0.375, 0.125)
V (0.250, 0.875, 0.625)
V (0.375, 0.125, 0.250)
V (0.375, 0.750, 0.125)
V (0.625, 0.250, 0.875)
V (0.625, 0.875, 0.750)
V (0.750, 0.125, 0.375)
V (0.750, 0.625, 0.875)
V (0.875, 0.625, 0.250)
V (0.875, 0.750, 0.625)
Ag (0.000, 0.000, 0.000)
Ag (0.000, 0.000, 0.500)
Ag (0.000, 0.500, 0.000)
Ag (0.000, 0.500, 0.500)
Ag (0.125, 0.750, 0.875)
Ag (0.125, 0.875, 0.250)
Ag (0.250, 0.125, 0.875)
Ag (0.250, 0.625, 0.375)
Ag (0.375, 0.250, 0.625)
Ag (0.375, 0.625, 0.750)
Ag (0.500, 0.000, 0.000)
Ag (0.500, 0.000, 0.500)
Ag (0.500, 0.500, 0.000)
Ag (0.500, 0.500, 0.500)
Ag (0.625, 0.375, 0.250)
Ag (0.625, 0.750, 0.375)
Ag (0.750, 0.375, 0.625)
Ag (0.750, 0.875, 0.125)
Ag (0.875, 0.125, 0.750)
Ag (0.875, 0.250, 0.125)
Te (0.062, 0.236, 0.139)
Te (0.062, 0.326, 0.923)
Te (0.077, 0.639, 0.403)
Te (0.077, 0.938, 0.674)
Te (0.097, 0.736, 0.674)
Te (0.097, 0.861, 0.423)
Te (0.139, 0.062, 0.236)
Te (0.139, 0.577, 0.903)
Te (0.174, 0.236, 0.597)
Te (0.174, 0.438, 0.577)
Te (0.236, 0.139, 0.062)
Te (0.236, 0.597, 0.174)
Te (0.264, 0.326, 0.903)
Te (0.264, 0.438, 0.361)
Te (0.326, 0.903, 0.264)
Te (0.326, 0.923, 0.062)
Te (0.361, 0.264, 0.438)
Te (0.361, 0.597, 0.923)
Te (0.403, 0.077, 0.639)
Te (0.403, 0.826, 0.764)
Te (0.423, 0.097, 0.861)
Te (0.423, 0.826, 0.562)
Te (0.438, 0.361, 0.264)
Te (0.438, 0.577, 0.174)
Te (0.562, 0.423, 0.826)
Te (0.562, 0.639, 0.736)
Te (0.577, 0.174, 0.438)
Te (0.577, 0.903, 0.139)
Te (0.597, 0.174, 0.236)
Te (0.597, 0.923, 0.361)
Te (0.639, 0.403, 0.077)
Te (0.639, 0.736, 0.562)
Te (0.674, 0.077, 0.938)
Te (0.674, 0.097, 0.736)
Te (0.736, 0.562, 0.639)
Te (0.736, 0.674, 0.097)
Te (0.764, 0.403, 0.826)
Te (0.764, 0.861, 0.938)
Te (0.826, 0.562, 0.423)
Te (0.826, 0.764, 0.403)
Te (0.861, 0.423, 0.097)
Te (0.861, 0.938, 0.764)
Te (0.903, 0.139, 0.577)
Te (0.903, 0.264, 0.326)
Te (0.923, 0.062, 0.326)
Te (0.923, 0.361, 0.597)
Te (0.938, 0.674, 0.077)
Te (0.938, 0.764, 0.861)

Values from the calculation:
As for the total magnetic moment: 5.89 μB per formula unit. The formation energy (no corrections) comes out at 0.09 eV/atom. The value obtained for the density of states at the Fermi level is 69.67 states/eV per cell. The symmetry is Ia-3d, No. 230. As for the volume: 28.49 Å³ per atom.


6.
# VAgTe3

An optimized crystal structure of VAgTe3 (GGA-PBE, Alexandria).

Cell lengths 5.239, 5.239, 5.239 Å; angles 90.00, 90.00, 90.00 degrees
Fractional positions:
V (0.000, 0.000, 0.000)
Ag (0.500, 0.500, 0.500)
Te (0.000, 0.000, 0.500)
Te (0.000, 0.500, 0.000)
Te (0.500, 0.000, 0.000)

Values from the calculation:
As for the total magnetic moment: 0.98 μB per formula unit. The formation energy (no corrections) comes out at 0.33 eV/atom. The value obtained for the density of states at the Fermi level is 4.18 states/eV per cell. The symmetry is Pm-3m, No. 221. As for the volume: 28.76 Å³ per atom.


7.
# VAg3Te4

An optimized crystal structure of VAg3Te4 (GGA-PBE, Alexandria).

Cell lengths 8.777, 7.675, 7.449 Å; angles 90.00, 90.00, 90.00 degrees
Fractional positions:
V (0.000, 0.174, 0.000)
V (0.500, 0.826, 0.500)
Ag (0.000, 0.846, 0.490)
Ag (0.249, 0.673, 0.985)
Ag (0.251, 0.327, 0.485)
Ag (0.500, 0.154, 0.990)
Ag (0.749, 0.327, 0.485)
Ag (0.751, 0.673, 0.985)
Te (0.000, 0.174, 0.663)
Te (0.000, 0.866, 0.116)
Te (0.238, 0.329, 0.112)
Te (0.262, 0.671, 0.612)
Te (0.500, 0.134, 0.616)
Te (0.500, 0.826, 0.163)
Te (0.738, 0.671, 0.612)
Te (0.762, 0.329, 0.112)

Values from the calculation:
As for the total magnetic moment: 0.00 μB per formula unit. The formation energy (no corrections) comes out at -0.09 eV/atom. The value obtained for the density of states at the Fermi level is 0.47 states/eV per cell. The symmetry is Pmn2_1, No. 31. As for the volume: 31.36 Å³ per atom.


8.
# VAgTe3

An optimized crystal structure of VAgTe3 (GGA-PBE, Alexandria).

Cell lengths 6.497, 3.666, 11.660 Å; angles 90.00, 99.55, 90.00 degrees
Fractional positions:
V (0.193, 0.250, 0.041)
V (0.807, 0.750, 0.959)
Ag (0.028, 0.250, 0.596)
Ag (0.972, 0.750, 0.404)
Te (0.038, 0.750, 0.171)
Te (0.367, 0.750, 0.564)
Te (0.498, 0.750, 0.114)
Te (0.502, 0.250, 0.886)
Te (0.633, 0.250, 0.436)
Te (0.962, 0.250, 0.829)

Values from the calculation:
As for the total magnetic moment: 0.00 μB per formula unit. The formation energy (no corrections) comes out at -0.06 eV/atom. The value obtained for the density of states at the Fermi level is 5.63 states/eV per cell. The symmetry is P2_1/m, No. 11. As for the volume: 27.39 Å³ per atom.


9.
# V3AgTe

An optimized crystal structure of V3AgTe (GGA-PBE, Alexandria).

Cell lengths 4.872, 4.872, 4.872 Å; angles 90.00, 90.00, 90.00 degrees
Fractional positions:
V (0.000, 0.000, 0.500)
V (0.000, 0.500, 0.000)
V (0.500, 0.000, 0.000)
Ag (0.500, 0.500, 0.500)
Te (0.000, 0.000, 0.000)

Values from the calculation:
As for the total magnetic moment: 5.38 μB per formula unit. The formation energy (no corrections) comes out at 1.33 eV/atom. The value obtained for the density of states at the Fermi level is 5.90 states/eV per cell. The symmetry is Pm-3m, No. 221. As for the volume: 23.13 Å³ per atom.


10.
# AgTeW2

An optimized crystal structure of AgTeW2 (GGA-PBE, Alexandria).

Cell lengths 5.038, 5.038, 5.038 Å; angles 130.91, 130.91, 71.95 degrees
Fractional positions:
Ag (0.000, 0.000, 0.000)
Te (0.250, 0.750, 0.500)
W (0.500, 0.500, 0.000)
W (0.750, 0.250, 0.500)

Values from the calculation:
As for the total magnetic moment: 0.00 μB per formula unit. The formation energy (no corrections) comes out at 0.93 eV/atom. The value obtained for the density of states at the Fermi level is 3.23 states/eV per cell. The symmetry is I-4m2, No. 119. As for the volume: 17.85 Å³ per atom.


11.
# AgTe2W

An optimized crystal structure of AgTe2W (GGA-PBE, Alexandria).

Cell lengths 5.879, 5.879, 5.879 Å; angles 138.64, 138.64, 59.92 degrees
Fractional positions:
Ag (0.000, 0.000, 0.000)
Te (0.250, 0.750, 0.500)
Te (0.500, 0.500, 0.000)
W (0.750, 0.250, 0.500)

Values from the calculation:
As for the total magnetic moment: 1.91 μB per formula unit. The formation energy (no corrections) comes out at 0.91 eV/atom. The value obtained for the density of states at the Fermi level is 3.43 states/eV per cell. The symmetry is I-4m2, No. 119. As for the volume: 21.96 Å³ per atom.


12.
# AgTe2W

An optimized crystal structure of AgTe2W (GGA-PBE, Alexandria).

Cell lengths 4.958, 4.958, 4.958 Å; angles 60.00, 60.00, 60.00 degrees
Fractional positions:
Ag (0.000, 0.000, 0.000)
Te (0.500, 0.500, 0.500)
Te (0.750, 0.750, 0.750)
W (0.250, 0.250, 0.250)

Values from the calculation:
As for the total magnetic moment: 0.00 μB per formula unit. The formation energy (no corrections) comes out at 1.13 eV/atom. The value obtained for the density of states at the Fermi level is 3.64 states/eV per cell. The symmetry is F-43m, No. 216. As for the volume: 21.55 Å³ per atom.